Density functional theory data (GGA-PBE) for a geometry-optimized PaGe3Os3 structure.

POSCAR file:
```
PaGe3Os3
1.0
-2.744 3.284 -5.175
-1.786 -5.852 -2.766
-5.863 0.246 3.265
Pa Ge Os
2 6 6
Cartesian
-5.196 -1.161 -2.338 Pa
0.000 0.000 0.000 Pa
-2.359 -2.865 -0.567 Ge
-3.617 0.944 0.339 Ge
-1.818 0.179 -3.279 Ge
-5.290 -2.741 1.065 Ge
-2.712 -2.747 -4.662 Ge
-4.989 2.586 -2.249 Ge
-2.838 1.703 -1.771 Os
-5.769 1.826 -0.139 Os
-1.579 -2.105 -2.677 Os
-3.378 -1.340 0.941 Os
-2.951 -0.463 -5.264 Os
-4.271 -4.266 -0.442 Os
```

Properties
- ΔH_f (0 K): 673 meV per atom


Density functional theory data (GGA-PBE) for a geometry-optimized Ce6GaSe5 structure.

POSCAR file:
```
Ce6GaSe5
1.0
7.179 -0.108 -1.353
-3.876 6.044 -1.353
0.141 0.253 7.295
Ce Se Ga
6 5 1
Cartesian
0.737 5.667 3.443 Ce
2.707 0.522 1.147 Ce
0.933 1.676 4.793 Ce
2.511 4.512 -0.203 Ce
-0.984 2.575 1.147 Ce
4.427 3.613 3.443 Ce
5.409 1.042 2.295 Se
-1.965 5.146 2.295 Se
-0.190 3.993 -1.353 Se
3.493 1.943 -1.353 Se
1.722 3.094 2.295 Se
0.000 0.000 0.000 Ga
```


Density functional theory data (GGA-PBE) for a geometry-optimized La3InAs structure.

POSCAR file:
```
La3InAs
1.0
-1.745 -4.381 3.214
4.800 -2.825 -1.246
2.547 2.323 4.548
La As In
3 1 1
Cartesian
1.274 1.161 2.274 La
2.400 -1.413 -0.623 La
-0.872 -2.190 1.607 La
0.000 0.000 0.000 As
2.801 -2.442 3.258 In
```

Properties
- ΔH_f (0 K): -590 meV per atom


Density functional theory data (GGA-PBE) for a geometry-optimized Tl2NiCl structure.

POSCAR file:
```
Tl2NiCl
1.0
-6.982 4.935 3.642
-8.499 1.739 3.334
-6.493 2.486 6.167
Tl Cl Ni
2 1 1
Cartesian
-0.501 0.209 0.299 Tl
-5.562 2.318 3.327 Tl
-10.200 4.252 6.101 Cl
-16.698 6.961 9.988 Ni
```


Density functional theory data (GGA-PBE) for a geometry-optimized Hf6Tl2Ni structure.

POSCAR file:
```
Hf6Tl2Ni
1.0
5.883 0.000 0.256
0.000 6.893 0.000
-0.414 0.000 9.741
Hf Tl Ni
12 4 2
Cartesian
4.654 5.017 9.733 Hf
1.920 5.322 4.734 Hf
3.550 1.570 5.263 Hf
3.595 3.328 2.586 Hf
0.815 1.876 0.264 Hf
3.451 1.100 9.679 Hf
1.874 3.565 7.412 Hf
5.023 6.775 2.669 Hf
0.446 0.118 7.328 Hf
2.018 5.793 0.319 Hf
4.753 4.546 5.318 Hf
0.716 2.347 4.680 Hf
4.895 2.808 7.676 Tl
0.574 4.085 2.322 Tl
2.160 0.639 2.677 Tl
3.309 6.254 7.320 Tl
2.942 3.446 0.128 Ni
-0.207 0.000 4.871 Ni
```

Properties
- ΔH_f (0 K): 104 meV per atom


Density functional theory data (GGA-PBE) for a geometry-optimized K2Nd2TeO6 structure.

POSCAR file:
```
K2Nd2TeO6
1.0
6.147 -0.005 0.114
-3.043 5.341 0.114
-1.051 -1.806 6.339
O Nd Te K
6 2 1 2
Cartesian
0.441 0.758 2.087 O
0.638 4.505 2.222 O
3.600 2.781 2.222 O
1.613 2.772 4.479 O
-1.547 0.749 4.344 O
1.415 -0.974 4.344 O
2.541 0.884 3.283 Nd
-0.487 2.646 3.283 Nd
-0.525 -0.903 3.170 Te
-1.571 4.485 0.114 K
4.675 0.851 0.114 K
```


Density functional theory data (GGA-PBE) for a geometry-optimized TaCoNi2 structure.

POSCAR file:
```
TaCoNi2
1.0
2.700 -0.013 0.000
0.011 2.700 0.000
0.000 0.000 6.998
Ni Ta Co
2 1 1
Cartesian
0.000 0.000 6.829 Ni
0.000 0.000 3.668 Ni
1.356 1.344 1.750 Ta
1.356 1.344 5.249 Co
```

Properties
- ΔH_f (0 K): -9 meV per atom


VASP energy, respectively: -7.475; -6.246; -5.024; -3.152; -7.700; -6.218; -7.639 eV/atom.